(1)
Density functional theory data (GGA-PBE) for Sm6Dy5Y2 after structural relaxation.

Output
formation energy from the elements	1.27	eV/f.u.
crystal system	orthorhombic

Cell and atoms, written as CIF:
```
data_Sm6Dy5Y2
_chemical_formula_sum 'Sm12 Dy10 Y4'
_symmetry_space_group_name_H-M 'P b a m'
_symmetry_Int_Tables_number 55
_cell_length_a 11.719
_cell_length_b 20.444
_cell_length_c 3.609
_cell_angle_alpha 90.00
_cell_angle_beta 90.00
_cell_angle_gamma 90.00
loop_
_symmetry_equiv_pos_as_xyz
'x,y,z'
'-x,-y,-z'
'-x,-y,z'
'x,y,-z'
'x+1/2,-y+1/2,-z'
'-x+1/2,y+1/2,z'
'-x+1/2,y+1/2,-z'
'x+1/2,-y+1/2,z'
loop_
_atom_site_label
_atom_site_type_symbol
_atom_site_fract_x
_atom_site_fract_y
_atom_site_fract_z
_atom_site_occupancy
Sm1 Sm 0.059 0.080 0.000 1
Sm2 Sm 0.081 0.367 0.000 1
Sm3 Sm 0.174 0.633 0.500 1
Dy1 Dy 0.000 0.500 0.500 1
Dy2 Dy 0.093 0.225 0.500 1
Dy3 Dy 0.199 0.946 0.500 1
Y1 Y 0.166 0.789 0.000 1
```

***

(2)
Density functional theory data (GGA-PBE) for Cr2CoRu after structural relaxation.

Output
formation energy from the elements	0.63	eV/f.u.
crystal system	orthorhombic

Cell and atoms, written as CIF:
```
data_Cr2CoRu
_chemical_formula_sum 'Cr2 Co1 Ru1'
_symmetry_space_group_name_H-M 'P m m 2'
_symmetry_Int_Tables_number 25
_cell_length_a 2.617
_cell_length_b 3.515
_cell_length_c 5.229
_cell_angle_alpha 90.00
_cell_angle_beta 90.00
_cell_angle_gamma 90.00
loop_
_symmetry_equiv_pos_as_xyz
'x,y,z'
'-x,-y,z'
'-x,y,z'
'x,-y,z'
loop_
_atom_site_label
_atom_site_type_symbol
_atom_site_fract_x
_atom_site_fract_y
_atom_site_fract_z
_atom_site_occupancy
Cr1 Cr 0.000 0.000 0.000 1
Cr2 Cr 0.500 0.500 0.266 1
Co1 Co 0.500 0.500 0.788 1
Ru1 Ru 0.000 0.000 0.511 1
```

***

(3)
Density functional theory data (GGA-PBE) for Re2Si2Pd after structural relaxation.

Output
raw formation energy	-5.4	kJ per mole of atoms
crystal system	tetragonal

Cell and atoms, written as CIF:
```
data_Re2Si2Pd
_chemical_formula_sum 'Re4 Si4 Pd2'
_symmetry_space_group_name_H-M 'P 4/m b m'
_symmetry_Int_Tables_number 127
_symmetry_space_group_name_Hall '-P 4 2ab'
_cell_length_a 7.028
_cell_length_b 7.028
_cell_length_c 2.884
_cell_angle_alpha 90.00
_cell_angle_beta 90.00
_cell_angle_gamma 90.00
loop_
_atom_site_label
_atom_site_type_symbol
_atom_site_fract_x
_atom_site_fract_y
_atom_site_fract_z
_atom_site_occupancy
Re1 Re 0.151 0.349 0.000 1
Si1 Si 0.145 0.645 0.500 1
Pd1 Pd 0.000 0.000 0.500 1
```

***

(4)
Density functional theory data (GGA-PBE) for HgBiSb2 after structural relaxation.

Output
raw formation energy	18.7	kJ per mole of atoms
crystal system	cubic
energy relative to the lowest polymorph listed for this composition	8.4	kJ per mole of atoms

Cell and atoms, written as CIF:
```
data_HgBiSb2
_chemical_formula_sum 'Hg4 Bi4 Sb8'
_symmetry_space_group_name_H-M 'F m -3 m'
_symmetry_Int_Tables_number 225
_symmetry_space_group_name_Hall '-F 4 2 3'
_cell_length_a 7.671
_cell_length_b 7.671
_cell_length_c 7.671
_cell_angle_alpha 90.00
_cell_angle_beta 90.00
_cell_angle_gamma 90.00
loop_
_atom_site_label
_atom_site_type_symbol
_atom_site_fract_x
_atom_site_fract_y
_atom_site_fract_z
_atom_site_occupancy
Hg1 Hg 0.000 0.000 0.000 1
Bi1 Bi 0.000 0.000 0.500 1
Sb1 Sb 0.250 0.250 0.250 1
```

***

(5)
Density functional theory data (GGA-PBE) for La4SnBi after structural relaxation.

Output
formation energy from the elements	-2.99	eV/f.u.
crystal system	monoclinic

Cell and atoms, written as CIF:
```
data_La4SnBi
_chemical_formula_sum 'La16 Sn4 Bi4'
_symmetry_space_group_name_H-M 'C 1 2/c 1'
_symmetry_Int_Tables_number 15
_cell_length_a 20.032
_cell_length_b 5.746
_cell_length_c 7.889
_cell_angle_alpha 90.00
_cell_angle_beta 112.62
_cell_angle_gamma 90.00
loop_
_symmetry_equiv_pos_as_xyz
'x,y,z'
'-x,-y,-z'
'-x,y,-z+1/2'
'x,-y,z+1/2'
'x+1/2,y+1/2,z'
'-x+1/2,-y+1/2,-z'
'-x+1/2,y+1/2,-z+1/2'
'x+1/2,-y+1/2,z+1/2'
loop_
_atom_site_label
_atom_site_type_symbol
_atom_site_fract_x
_atom_site_fract_y
_atom_site_fract_z
_atom_site_occupancy
La1 La 0.078 0.248 0.195 1
La2 La 0.179 0.250 0.799 1
Sn1 Sn 0.250 0.250 0.500 1
Bi1 Bi 0.000 0.252 0.750 1
```

***

(6)
Density functional theory data (GGA-PBE) for Pm3Er4Th2 after structural relaxation.

Output
formation energy from the elements	1.39	eV/f.u.
crystal system	monoclinic
energy relative to the lowest polymorph listed for this composition	2.7	kJ per mole of atoms

Cell and atoms, written as CIF:
```
data_Pm3Er4Th2
_chemical_formula_sum 'Pm12 Er16 Th8'
_symmetry_space_group_name_H-M 'C 1 2/c 1'
_symmetry_Int_Tables_number 15
_cell_length_a 14.652
_cell_length_b 13.098
_cell_length_c 6.309
_cell_angle_alpha 90.00
_cell_angle_beta 99.91
_cell_angle_gamma 90.00
loop_
_symmetry_equiv_pos_as_xyz
'x,y,z'
'-x,-y,-z'
'-x,y,-z+1/2'
'x,-y,z+1/2'
'x+1/2,y+1/2,z'
'-x+1/2,-y+1/2,-z'
'-x+1/2,y+1/2,-z+1/2'
'x+1/2,-y+1/2,z+1/2'
loop_
_atom_site_label
_atom_site_type_symbol
_atom_site_fract_x
_atom_site_fract_y
_atom_site_fract_z
_atom_site_occupancy
Pm1 Pm 0.000 0.040 0.250 1
Pm2 Pm 0.106 0.440 0.997 1
Er1 Er 0.082 0.289 0.519 1
Er2 Er 0.189 0.184 0.138 1
Th1 Th 0.207 0.076 0.642 1
```

***

(7)
Density functional theory data (GGA-PBE) for Sm6OsSe5 after structural relaxation.

Output
raw formation energy	-147.9	kJ per mole of atoms
crystal system	monoclinic

Cell and atoms, written as CIF:
```
data_Sm6OsSe5
_chemical_formula_sum 'Sm12 Os2 Se10'
_symmetry_space_group_name_H-M 'C 1 2/m 1'
_symmetry_Int_Tables_number 12
_cell_length_a 7.314
_cell_length_b 12.651
_cell_length_c 7.273
_cell_angle_alpha 90.00
_cell_angle_beta 109.42
_cell_angle_gamma 90.00
loop_
_symmetry_equiv_pos_as_xyz
'x,y,z'
'-x,-y,-z'
'-x,y,-z'
'x,-y,z'
'x+1/2,y+1/2,z'
'-x+1/2,-y+1/2,-z'
'-x+1/2,y+1/2,-z'
'x+1/2,-y+1/2,z'
loop_
_atom_site_label
_atom_site_type_symbol
_atom_site_fract_x
_atom_site_fract_y
_atom_site_fract_z
_atom_site_occupancy
Sm1 Sm 0.231 0.000 0.264 1
Sm2 Sm 0.234 0.156 0.736 1
Os1 Os 0.000 0.000 0.500 1
Se1 Se 0.000 0.174 0.000 1
Se2 Se 0.000 0.335 0.500 1
Se3 Se 0.000 0.500 0.000 1
```

***

(8)
Density functional theory data (GGA-PBE) for PuThTlSn after structural relaxation.

Output
formation energy from the elements	-0.70	eV/f.u.
crystal system	cubic

Cell and atoms, written as CIF:
```
data_PuThTlSn
_chemical_formula_sum 'Pu4 Th4 Tl4 Sn4'
_symmetry_space_group_name_H-M 'F -4 3 m'
_symmetry_Int_Tables_number 216
_symmetry_space_group_name_Hall 'F -4 2 3'
_cell_length_a 7.697
_cell_length_b 7.697
_cell_length_c 7.697
_cell_angle_alpha 90.00
_cell_angle_beta 90.00
_cell_angle_gamma 90.00
loop_
_atom_site_label
_atom_site_type_symbol
_atom_site_fract_x
_atom_site_fract_y
_atom_site_fract_z
_atom_site_occupancy
Pu1 Pu 0.000 0.000 0.000 1
Th1 Th 0.000 0.000 0.500 1
Tl1 Tl 0.250 0.250 0.750 1
Sn1 Sn 0.250 0.250 0.250 1
```

***

Computed density of states at the Fermi level, in the same sequence as the records: 1.17 1.44 0.87 0.48 1.08 1.51 0.82 2.77 states/eV per atom.